Here is a geometry-optimized ScRe2Os structure from Alexandria via LeMat-Bulk. Energies are from PBEsol.

## Properties
Energy of formation from the pure elements, kcal/mol of atoms: 1.04
ρ, Mg/m³: 16.20
E above lowest polymorph, eV per atom: 0.076
Volume, Å³ per atom: 15.57
Density of states at the Fermi level, states/eV/atom: 1.025

```
data_ScRe2Os
_cell_length_a 9.881
_cell_length_b 2.867
_cell_length_c 4.579
_cell_angle_alpha 90.00
_cell_angle_beta 106.26
_cell_angle_gamma 90.00
_symmetry_space_group_name_H-M 'C 1 2/m 1'
_symmetry_Int_Tables_number 12
_symmetry_space_group_name_Hall '-C 2y'
loop_
_atom_site_label
_atom_site_fract_x
_atom_site_fract_y
_atom_site_fract_z
Sc1 0.000 0.000 0.000
Re1 0.230 0.000 0.725
Os1 0.000 0.500 0.500
```